The following is a DFT calculation (GGA-PBEsol) of a relaxed As2PSeI crystal.

a b c (Å): 4.7361 4.8924 4.8924
angles (deg): 90.00 90.00 90.00
Element x y z (fractional)
As1 0.0000 0.0000 0.5000
As2 0.0000 0.5000 0.0000
I1 0.5000 0.5000 0.5000
Se1 0.5000 0.0000 0.0000
P1 0.0000 0.0000 0.0000

Properties
The calculation puts the total energy at -18.72 eV/cell. The space-group type is P4/mmm (123). The formation energy (no corrections) is 0.5806 eV per atom.